Entry 1
Here is crystalline LiCaW at its relaxed geometry from the Alexandria database. Energies are from PBE.

a b c (Å): 2.9575 2.9575 8.0570
angles (deg): 90.00 90.00 120.00
Closest atoms and distances in Å follow each position.
Sites, in units of the cell vectors:
1 W 0.3333 0.6667 0.6582  3 Li 2.94, 6 W 2.96, 3 Ca 3.11
2 Ca 0.0000 0.0000 0.9810  6 Ca 2.96, 3 W 3.11
3 Li 0.6667 0.3333 0.3607  3 W 2.94, 6 Li 2.96

Fermi-level density of states: 0.977 states/eV/atom
spin magnetization: 0.000 μB/f.u.

---

Entry 2
Here is crystalline LiCaW at its relaxed geometry from the Alexandria database. Energies are from PBE.

a b c (Å): 5.9925 5.9925 5.9925
angles (deg): 153.45 141.60 47.29
Closest atoms and distances in Å follow each position.
Sites, in units of the cell vectors:
1 Ca 0.9989 0.9989 0.0000  2 Ca 2.75
2 W 0.6904 0.6904 0.0000  4 Li 2.74, 2 W 2.75
3 Li 0.3107 0.3107 0.0000  4 W 2.74, 2 Li 2.75

Fermi-level density of states: 0.867 states/eV/atom
spin magnetization: 0.000 μB/f.u.

---

Which of them is least stable? Easy: entry 2.